1.
DFT (PBE) results for crystalline CuRhCl2 at its relaxed geometry.

## Properties
Calculated volume = 156 Å³/cell
Energy above the lowest structure with this stoichiometry = 239 meV/atom
Formation energy (no corrections) = 0.0602 eV per atom
Mass density = 5.040 g/cm3
Electronic total energy = -3.725 eV/atom

Lattice parameters (Å, degrees): 14.197 3.400 3.244 90.00 92.72 90.00
Space group Cm (No. 8)
One atom of each set of equivalent atoms:
Cu (0.000, 0.000, 0.000) (multiplicity 2)
Rh (0.350, 0.500, 0.468) (multiplicity 2)
Cl (0.057, 0.500, 0.511) (multiplicity 2)
Cl (0.303, 0.000, 0.958) (multiplicity 2)

=====

2.
DFT (PBE) results for crystalline AsWSe2 at its relaxed geometry.

## Properties
Calculated volume = 191 Å³/cell
Formation energy (no corrections) = -0.0334 eV per atom
Mass density = 7.238 g/cm3
Electronic total energy = -6.176 eV/atom

Lattice parameters (Å, degrees): 9.093 3.367 6.416 90.00 103.26 90.00
Space group Cm (No. 8)
One atom of each set of equivalent atoms:
As (0.000, 0.000, 0.000) (multiplicity 2)
W (0.215, 0.500, 0.018) (multiplicity 2)
Se (0.146, 0.000, 0.704) (multiplicity 2)
Se (0.334, 0.000, 0.309) (multiplicity 2)